DFT (GGA-PBE) results for SiTeW2 after structural relaxation.

The calculation puts the energy above the most stable polymorph in this dataset at 0.098 eV/atom. For the energy, the calculation gives -8.2259 eV per atom.

The space group is Imm2 (No. 44) and the conventional cell measures 3.310, 3.563 and 12.278 Å, with angles of 90.00, 90.00 and 90.00 degrees. The distinct sites, in fractional coordinates, are Si at (0.000, 0.000, 0.000), Te at (0.000, 0.500, 0.753), W at (0.000, 0.000, 0.440) and W at (0.000, 0.500, 0.142).

DFT (GGA-PBE) results for MnOs2Au after structural relaxation.

The calculation puts the energy above the most stable polymorph in this dataset at 0.317 eV/atom. The value obtained for the formation energy is 2.2 eV per formula unit. For the energy, the calculation gives -8.1834 eV per atom.

The space group is Pmmm (No. 47) and the conventional cell measures 2.828, 4.619 and 4.679 Å, with angles of 90.00, 90.00 and 90.00 degrees. The distinct sites, in fractional coordinates, are Mn at (0.000, 0.000, 0.000), Os at (0.000, 0.500, 0.500), Os at (0.500, 0.000, 0.500) and Au at (0.500, 0.500, 0.000).

DFT (GGA-PBE) results for NbTe2 after structural relaxation.

For the energy, the calculation gives -5.8827 eV per atom.

The space group is P-3m1 (No. 164) and the conventional cell measures 3.6822, 3.6822 and 7.1238 Å, with angles of 90.00, 90.00 and 120.00 degrees. The distinct sites, in fractional coordinates, are Nb at (0.0000, 0.0000, 0.0000) and Te at (0.3333, 0.6667, 0.7412).

DFT (GGA-PBE) results for KBa2Rh after structural relaxation.

The calculation puts the energy above the most stable polymorph in this dataset at 0.004 eV/atom. The value obtained for the formation energy is -0.4 eV per formula unit. For the energy, the calculation gives -3.1818 eV per atom.

The space group is R-3m (No. 166, hexagonal axes) and the conventional cell measures 4.5601, 4.5601 and 33.6863 Å, with angles of 90.00, 90.00 and 120.00 degrees. The distinct sites, in fractional coordinates, are K at (0.0000, 0.0000, 0.0000), Ba at (0.0000, 0.0000, 0.2153) and Rh at (0.0000, 0.0000, 0.5000).

DFT (GGA-PBE) results for Nd3NiTeCl after structural relaxation.

For the energy, the calculation gives -5.2027 eV per atom.

The space group is P2_1/m (No. 11) and the conventional cell measures 7.401, 4.040 and 11.353 Å, with angles of 90.00, 100.54 and 90.00 degrees. The distinct sites, in fractional coordinates, are Nd at (0.216, 0.250, 0.008), Nd at (0.237, 0.250, 0.615), Nd at (0.262, 0.750, 0.318), Ni at (0.491, 0.750, 0.555), Te at (0.060, 0.750, 0.802) and Cl at (0.476, 0.750, 0.129).

DFT (GGA-PBE) results for K2ScPt after structural relaxation.

The calculation puts the energy above the most stable polymorph in this dataset at 0.000 eV/atom. The value obtained for the formation energy is -1.1 eV per formula unit. For the energy, the calculation gives -3.9054 eV per atom.

The space group is Pm (No. 6) and the conventional cell measures 3.887, 3.673 and 10.479 Å, with angles of 90.00, 100.16 and 90.00 degrees. The distinct sites, in fractional coordinates, are K at (0.000, 0.000, 0.000), K at (0.294, 0.500, 0.608), Sc at (0.643, 0.500, 0.294) and Pt at (0.157, 0.000, 0.323).

DFT (GGA-PBE) results for Tb6ErSc after structural relaxation.

The calculation puts the energy above the most stable polymorph in this dataset at 0.175 eV/atom. The value obtained for the formation energy is 1.6 eV per formula unit. For the energy, the calculation gives -4.6289 eV per atom.

The space group is P-1 (No. 2) and the conventional cell measures 6.440, 6.719 and 6.811 Å, with angles of 118.37, 102.00 and 92.02 degrees. The distinct sites, in fractional coordinates, are Tb at (0.228, 0.403, 0.468), Tb at (0.248, 0.940, 0.996), Tb at (0.262, 0.918, 0.511), Er at (0.500, 0.500, 0.000) and Sc at (0.000, 0.500, 0.000).

DFT (GGA-PBE) results for NiI3Cl after structural relaxation.

The calculation puts the energy above the most stable polymorph in this dataset at 0.000 eV/atom. For the energy, the calculation gives -2.5222 eV per atom.

The space group is P2_1/m (No. 11) and the conventional cell measures 5.770, 7.830 and 7.085 Å, with angles of 90.00, 103.17 and 90.00 degrees. The distinct sites, in fractional coordinates, are Ni at (0.002, 0.250, 0.496), I at (0.186, 0.501, 0.334), I at (0.379, 0.250, 0.794) and Cl at (0.314, 0.750, 0.759).

DFT (GGA-PBE) results for NpVC after structural relaxation.

The calculation puts the energy above the most stable polymorph in this dataset at 0.000 eV/atom. The value obtained for the formation energy is -0.1 eV per formula unit. For the energy, the calculation gives -10.4588 eV per atom.

The space group is P2_1/m (No. 11) and the conventional cell measures 4.119, 3.799 and 5.318 Å, with angles of 90.00, 110.04 and 90.00 degrees. The distinct sites, in fractional coordinates, are Np at (0.206, 0.250, 0.054), V at (0.238, 0.750, 0.504) and C at (0.334, 0.250, 0.632).

DFT (GGA-PBE) results for Er2PuZn after structural relaxation.

The calculation puts the energy above the most stable polymorph in this dataset at 0.290 eV/atom. The value obtained for the formation energy is 0.8 eV per formula unit. For the energy, the calculation gives -5.9758 eV per atom.

The space group is R-3m (No. 166, hexagonal axes) and the conventional cell measures 3.3866, 3.3866 and 33.3935 Å, with angles of 90.00, 90.00 and 120.00 degrees. The distinct sites, in fractional coordinates, are Er at (0.0000, 0.0000, 0.0990), Pu at (0.0000, 0.0000, 0.0000) and Zn at (0.0000, 0.0000, 0.5000).

DFT (GGA-PBE) results for La8Pm2Mg after structural relaxation.

The calculation puts the energy above the most stable polymorph in this dataset at 0.077 eV/atom. The value obtained for the formation energy is 0.9 eV per formula unit. For the energy, the calculation gives -4.5120 eV per atom.

The space group is P4/mmm (No. 123) and the conventional cell measures 5.248, 5.248 and 14.656 Å, with angles of 90.00, 90.00 and 90.00 degrees. The distinct sites, in fractional coordinates, are La at (0.000, 0.000, 0.178), La at (0.000, 0.500, 0.000), La at (0.000, 0.500, 0.356), Pm at (0.500, 0.500, 0.183) and Mg at (0.500, 0.500, 0.500).

DFT (GGA-PBE) results for Nd6Tl5Cd after structural relaxation.

The calculation puts the energy above the most stable polymorph in this dataset at 0.000 eV/atom. The value obtained for the formation energy is -4.6 eV per formula unit. For the energy, the calculation gives -3.8271 eV per atom.

The space group is C2/m (No. 12) and the conventional cell measures 9.535, 16.570 and 5.523 Å, with angles of 90.00, 125.36 and 90.00 degrees. The distinct sites, in fractional coordinates, are Nd at (0.249, 0.000, 0.249), Nd at (0.249, 0.167, 0.749), Tl at (0.000, 0.163, 0.000), Tl at (0.000, 0.334, 0.500), Tl at (0.000, 0.500, 0.000) and Cd at (0.000, 0.000, 0.500).

DFT (GGA-PBE) results for CaTlSeNF after structural relaxation.

The calculation puts the energy above the most stable polymorph in this dataset at 0.108 eV/atom. For the energy, the calculation gives -4.6332 eV per atom.

The space group is Cm (No. 8) and the conventional cell measures 9.732, 3.648 and 7.280 Å, with angles of 90.00, 110.66 and 90.00 degrees. The distinct sites, in fractional coordinates, are Ca at (0.000, 0.000, 0.000), Tl at (0.407, 0.000, 0.460), Se at (0.239, 0.000, 0.756), N at (0.043, 0.000, 0.706) and F at (0.092, 0.500, 0.154).

DFT (GGA-PBE) results for LaEr5In2 after structural relaxation.

The value obtained for the formation energy is -1.5 eV per formula unit. For the energy, the calculation gives -4.3390 eV per atom.

The space group is Immm (No. 71) and the conventional cell measures 3.596, 10.428 and 12.771 Å, with angles of 90.00, 90.00 and 90.00 degrees. The distinct sites, in fractional coordinates, are La at (0.000, 0.000, 0.000), Er at (0.000, 0.226, 0.365), Er at (0.000, 0.500, 0.000) and In at (0.000, 0.500, 0.256).

DFT (GGA-PBE) results for Sm5Ho3Th2 after structural relaxation.

The value obtained for the formation energy is 2.1 eV per formula unit. For the energy, the calculation gives -5.0061 eV per atom.

The space group is C2/c (No. 15) and the conventional cell measures 10.859, 17.268 and 9.021 Å, with angles of 90.00, 126.88 and 90.00 degrees. The distinct sites, in fractional coordinates, are Sm at (0.000, 0.030, 0.250), Sm at (0.000, 0.221, 0.250), Sm at (0.000, 0.278, 0.750), Sm at (0.250, 0.117, 0.752), Ho at (0.000, 0.466, 0.750), Ho at (0.146, 0.123, 0.042) and Th at (0.135, 0.378, 0.520).

DFT (GGA-PBE) results for P2OsC after structural relaxation.

The value obtained for the formation energy is 1.1 eV per formula unit. For the energy, the calculation gives -7.5488 eV per atom.

The space group is I-42d (No. 122) and the conventional cell measures 5.024, 5.024 and 8.474 Å, with angles of 90.00, 90.00 and 90.00 degrees. The distinct sites, in fractional coordinates, are P at (0.187, 0.250, 0.125), Os at (0.000, 0.000, 0.500) and C at (0.000, 0.000, 0.000).

DFT (GGA-PBE) results for Rb2LiScBr6 after structural relaxation.

For the energy, the calculation gives -3.7381 eV per atom.

The space group is R-3m (No. 166, hexagonal axes) and the conventional cell measures 7.6574, 7.6574 and 38.4652 Å, with angles of 90.00, 90.00 and 120.00 degrees. The distinct sites, in fractional coordinates, are Rb at (0.0000, 0.0000, 0.1212), Rb at (0.0000, 0.0000, 0.2917), Li at (0.0000, 0.0000, 0.0000), Li at (0.0000, 0.0000, 0.5000), Sc at (0.0000, 0.0000, 0.4145), Br at (0.0043, 0.5022, 0.2919) and Br at (0.0109, 0.5054, 0.1223).

DFT (GGA-PBE) results for GeN2F6 after structural relaxation.

The calculation puts the energy above the most stable polymorph in this dataset at 0.022 eV/atom. For the energy, the calculation gives -3.7185 eV per atom.

The space group is Fm-3m (No. 225) and the conventional cell measures 7.684, 7.684 and 7.684 Å, with angles of 90.00, 90.00 and 90.00 degrees. The distinct sites, in fractional coordinates, are Ge at (0.000, 0.000, 0.000), N at (0.250, 0.250, 0.250) and F at (0.000, 0.000, 0.238).

DFT (GGA-PBE) results for HgBiBr2 after structural relaxation.

The calculation puts the energy above the most stable polymorph in this dataset at 0.011 eV/atom. For the energy, the calculation gives -2.1979 eV per atom.

The space group is C2 (No. 5) and the conventional cell measures 10.052, 7.468 and 3.938 Å, with angles of 90.00, 110.86 and 90.00 degrees. The distinct sites, in fractional coordinates, are Hg at (0.000, 0.000, 0.000), Bi at (0.000, 0.707, 0.500) and Br at (0.198, 0.281, 0.223).

DFT (GGA-PBE) results for Na2SbCl after structural relaxation.

The calculation puts the energy above the most stable polymorph in this dataset at 0.000 eV/atom. For the energy, the calculation gives -3.1090 eV per atom.

The space group is P4/mmm (No. 123) and the conventional cell measures 3.386, 3.386 and 8.322 Å, with angles of 90.00, 90.00 and 90.00 degrees. The distinct sites, in fractional coordinates, are Na at (0.000, 0.000, 0.206), Sb at (0.500, 0.500, 0.500) and Cl at (0.500, 0.500, 0.000).

DFT (GGA-PBE) results for FeCoIr2 after structural relaxation.

The value obtained for the formation energy is 0.2 eV per formula unit. For the energy, the calculation gives -8.2620 eV per atom.

The space group is R3m (No. 160, hexagonal axes) and the conventional cell measures 2.6892, 2.6892 and 25.3289 Å, with angles of 90.00, 90.00 and 120.00 degrees. The distinct sites, in fractional coordinates, are Fe at (0.0000, 0.0000, 0.0000), Co at (0.0000, 0.0000, 0.2557), Ir at (0.0000, 0.0000, 0.5066) and Ir at (0.0000, 0.0000, 0.7499).

DFT (GGA-PBE) results for AcY2Er after structural relaxation.

The calculation puts the energy above the most stable polymorph in this dataset at 0.079 eV/atom. The value obtained for the formation energy is 0.5 eV per formula unit. For the energy, the calculation gives -5.2755 eV per atom.

The space group is Fm-3m (No. 225) and the conventional cell measures 8.245, 8.245 and 8.245 Å, with angles of 90.00, 90.00 and 90.00 degrees. The distinct sites, in fractional coordinates, are Ac at (0.000, 0.000, 0.000), Y at (0.250, 0.250, 0.250) and Er at (0.000, 0.000, 0.500).

DFT (GGA-PBE) results for BeCrTc2 after structural relaxation.

The value obtained for the formation energy is 0.2 eV per formula unit. For the energy, the calculation gives -8.4598 eV per atom.

The space group is P2/m (No. 10) and the conventional cell measures 2.602, 3.919 and 5.069 Å, with angles of 90.00, 101.15 and 90.00 degrees. The distinct sites, in fractional coordinates, are Be at (0.000, 0.000, 0.000), Cr at (0.500, 0.000, 0.500) and Tc at (0.282, 0.500, 0.758).

DFT (GGA-PBE) results for SrPm4Sb5 after structural relaxation.

For the energy, the calculation gives -5.2263 eV per atom.

The space group is Immm (No. 71) and the conventional cell measures 4.516, 6.424 and 22.839 Å, with angles of 90.00, 90.00 and 90.00 degrees. The distinct sites, in fractional coordinates, are Sr at (0.000, 0.000, 0.000), Pm at (0.000, 0.000, 0.202), Pm at (0.000, 0.000, 0.401), Sb at (0.000, 0.500, 0.000), Sb at (0.000, 0.500, 0.199) and Sb at (0.000, 0.500, 0.393).

DFT (GGA-PBE) results for Na2AgN after structural relaxation.

For the energy, the calculation gives -3.1883 eV per atom.

The space group is I-42d (No. 122) and the conventional cell measures 9.711, 9.711 and 4.121 Å, with angles of 90.00, 90.00 and 90.00 degrees. The distinct sites, in fractional coordinates, are Na at (0.005, 0.250, 0.125), Ag at (0.000, 0.000, 0.500) and N at (0.000, 0.000, 0.000).